No. 1
A plane-wave DFT calculation with PBE was carried out for a relaxed Tb2PmLu crystal.

## Properties
Its symmetry is Fm-3m, No. 225. The relative energy among the computed polymorphs is 127.1 meV per atom. The formation energy is 0.595 eV/f.u. Its density is 8.21 g/cm³.

Unit cell a=8.0214 b=8.0214 c=8.0214 alpha=90.00 beta=90.00 gamma=90.00
Positions (direct):
1 Tb 0.2500 0.2500 0.2500
2 Tb 0.2500 0.2500 0.7500
3 Tb 0.2500 0.7500 0.2500
4 Tb 0.2500 0.7500 0.7500
5 Tb 0.7500 0.2500 0.2500
6 Tb 0.7500 0.2500 0.7500
7 Tb 0.7500 0.7500 0.2500
8 Tb 0.7500 0.7500 0.7500
9 Pm 0.0000 0.0000 0.0000
10 Pm 0.0000 0.5000 0.5000
11 Pm 0.5000 0.0000 0.5000
12 Pm 0.5000 0.5000 0.0000
13 Lu 0.0000 0.0000 0.5000
14 Lu 0.0000 0.5000 0.0000
15 Lu 0.5000 0.0000 0.0000
16 Lu 0.5000 0.5000 0.5000

No. 2
A plane-wave DFT calculation with PBE was carried out for a relaxed Tb4PmLu crystal.

## Properties
Its symmetry is F-43m, No. 216. The formation energy is 1.584 eV/f.u. Its density is 7.92 g/cm³.

Unit cell a=6.5694 b=6.5694 c=6.5694 alpha=60.00 beta=60.00 gamma=60.00
Positions (direct):
1 Tb 0.1248 0.1248 0.1248
2 Tb 0.1248 0.1248 0.6256
3 Tb 0.1248 0.6256 0.1248
4 Tb 0.6256 0.1248 0.1248
5 Pm 0.5000 0.5000 0.5000
6 Lu 0.7500 0.7500 0.7500

No. 3
A plane-wave DFT calculation with PBE was carried out for a relaxed Tb2PmLu crystal.

## Properties
Its symmetry is P4/mmm, No. 123. The relative energy among the computed polymorphs is 3.1 meV per atom. The formation energy is 0.099 eV/f.u. Its density is 8.31 g/cm³.

Unit cell a=3.5537 b=3.5537 c=10.0877 alpha=90.00 beta=90.00 gamma=90.00
Positions (direct):
1 Tb 0.0000 0.0000 0.2436
2 Tb 0.0000 0.0000 0.7564
3 Pm 0.5000 0.5000 0.5000
4 Lu 0.5000 0.5000 0.0000

No. 4
A plane-wave DFT calculation with PBE was carried out for a relaxed Tb2PmLu crystal.

## Properties
Its symmetry is P4/mmm, No. 123. The relative energy among the computed polymorphs is 0.0 meV per atom. The formation energy is 0.087 eV/f.u. Its density is 8.32 g/cm³.

Unit cell a=5.0176 b=5.0176 c=5.0534 alpha=90.00 beta=90.00 gamma=90.00
Positions (direct):
1 Tb 0.0000 0.5000 0.0000
2 Tb 0.5000 0.0000 0.0000
3 Pm 0.0000 0.0000 0.5000
4 Lu 0.5000 0.5000 0.5000

No. 5
A plane-wave DFT calculation with PBE was carried out for a relaxed Tb2PmLu crystal.

## Properties
Its symmetry is R-3m, No. 166. The relative energy among the computed polymorphs is 2.2 meV per atom. The formation energy is 0.095 eV/f.u. Its density is 8.33 g/cm³.

Unit cell a=3.5602 b=3.5602 c=34.7612 alpha=90.00 beta=90.00 gamma=120.00
Positions (direct):
1 Tb 0.0000 0.0000 0.2482
2 Tb 0.0000 0.0000 0.7518
3 Tb 0.3333 0.6667 0.4185
4 Tb 0.3333 0.6667 0.9148
5 Tb 0.6667 0.3333 0.0852
6 Tb 0.6667 0.3333 0.5815
7 Pm 0.0000 0.0000 0.0000
8 Pm 0.3333 0.6667 0.6667
9 Pm 0.6667 0.3333 0.3333
10 Lu 0.0000 0.0000 0.5000
11 Lu 0.3333 0.6667 0.1667
12 Lu 0.6667 0.3333 0.8333

No. 6
A plane-wave DFT calculation with PBE was carried out for a relaxed TbPmLuTl crystal.

## Properties
Its symmetry is F-43m, No. 216. The formation energy is -0.236 eV/f.u. Its density is 9.70 g/cm³.

Unit cell a=7.7641 b=7.7641 c=7.7641 alpha=90.00 beta=90.00 gamma=90.00
Positions (direct):
1 Tb 0.0000 0.0000 0.0000
2 Tb 0.0000 0.5000 0.5000
3 Tb 0.5000 0.0000 0.5000
4 Tb 0.5000 0.5000 0.0000
5 Pm 0.0000 0.0000 0.5000
6 Pm 0.0000 0.5000 0.0000
7 Pm 0.5000 0.0000 0.0000
8 Pm 0.5000 0.5000 0.5000
9 Lu 0.2500 0.2500 0.7500
10 Lu 0.2500 0.7500 0.2500
11 Lu 0.7500 0.2500 0.2500
12 Lu 0.7500 0.7500 0.7500
13 Tl 0.2500 0.2500 0.2500
14 Tl 0.2500 0.7500 0.7500
15 Tl 0.7500 0.2500 0.7500
16 Tl 0.7500 0.7500 0.2500

No. 7
A plane-wave DFT calculation with PBE was carried out for a relaxed TbPmTmLu crystal.

## Properties
Its symmetry is F-43m, No. 216. The formation energy is 0.420 eV/f.u. Its density is 8.47 g/cm³.

Unit cell a=7.9795 b=7.9795 c=7.9795 alpha=90.00 beta=90.00 gamma=90.00
Positions (direct):
1 Tb 0.0000 0.0000 0.0000
2 Tb 0.0000 0.5000 0.5000
3 Tb 0.5000 0.0000 0.5000
4 Tb 0.5000 0.5000 0.0000
5 Pm 0.0000 0.0000 0.5000
6 Pm 0.0000 0.5000 0.0000
7 Pm 0.5000 0.0000 0.0000
8 Pm 0.5000 0.5000 0.5000
9 Tm 0.2500 0.2500 0.7500
10 Tm 0.2500 0.7500 0.2500
11 Tm 0.7500 0.2500 0.2500
12 Tm 0.7500 0.7500 0.7500
13 Lu 0.2500 0.2500 0.2500
14 Lu 0.2500 0.7500 0.7500
15 Lu 0.7500 0.2500 0.7500
16 Lu 0.7500 0.7500 0.2500

No. 8
A plane-wave DFT calculation with PBE was carried out for a relaxed TbPmLuZn crystal.

## Properties
Its symmetry is F-43m, No. 216. The formation energy is 0.044 eV/f.u. Its density is 8.37 g/cm³.

Unit cell a=7.5595 b=7.5595 c=7.5595 alpha=90.00 beta=90.00 gamma=90.00
Positions (direct):
1 Tb 0.0000 0.0000 0.0000
2 Tb 0.0000 0.5000 0.5000
3 Tb 0.5000 0.0000 0.5000
4 Tb 0.5000 0.5000 0.0000
5 Pm 0.0000 0.0000 0.5000
6 Pm 0.0000 0.5000 0.0000
7 Pm 0.5000 0.0000 0.0000
8 Pm 0.5000 0.5000 0.5000
9 Lu 0.2500 0.2500 0.2500
10 Lu 0.2500 0.7500 0.7500
11 Lu 0.7500 0.2500 0.7500
12 Lu 0.7500 0.7500 0.2500
13 Zn 0.2500 0.2500 0.7500
14 Zn 0.2500 0.7500 0.2500
15 Zn 0.7500 0.2500 0.2500
16 Zn 0.7500 0.7500 0.7500

What is the formula in the fifth record?
Tb2PmLu